Material: Na2BiOsO6
Method: DFT, GGA-PBE
State: optimized geometry

Cell: 5.871 5.871 5.871 Å, 60.00 60.00 60.00°
Fractional positions:
Na1 0.250 0.250 0.250
Na2 0.750 0.750 0.750
Bi1 0.000 0.000 0.000
Os1 0.500 0.500 0.500
O1 0.273 0.273 0.727
O2 0.273 0.727 0.273
O3 0.273 0.727 0.727
O4 0.727 0.273 0.273
O5 0.727 0.273 0.727
O6 0.727 0.727 0.273

Output
**Total energy**: -5.924 eV per atom
**Mass density**: 6.3 g cm⁻³
**Space group**: No. 225